Entry from Alexandria: crystalline CaTmTl2 at its relaxed geometry (GGA-PBE).

The space group is P4/mmm (No. 123) and the conventional cell measures 3.799, 3.799 and 7.692 Å, with angles of 90.00, 90.00 and 90.00 degrees. Symmetry generates all atoms from Ca at (0.000, 0.000, 0.000), Tm at (0.000, 0.000, 0.500) and Tl at (0.500, 0.500, 0.259).

Its theoretical density is 9.239 Mg/m³. As for the total energy: -0.117 Ha/atom. As for the magnetic moment: 0.0 μB/cell. The formation energy from the elements is -36.4 kJ/mol of atoms.